Ag2BrF after structural relaxation, computed with PBE. Values from VASP.

The structure in Quantum ESPRESSO input format:
```
&SYSTEM
  ibrav = 0, nat = 16, ntyp = 3
/
ATOMIC_SPECIES
Ag 107.87 Ag.upf
Br 79.90 Br.upf
F 19.00 F.upf
CELL_PARAMETERS angstrom
3.093 -7.895 0.000
3.093 7.895 0.000
0.000 0.000 7.427
ATOMIC_POSITIONS angstrom
Ag 3.093 6.991 5.876
Ag 1.546 2.866 5.570
Ag 1.546 -2.866 1.857
Ag 3.093 0.904 2.163
Ag 3.093 -0.904 5.264
Ag 4.639 2.866 5.570
Ag 4.639 -2.866 1.857
Ag 3.093 -6.991 1.551
Br 3.093 5.029 4.267
Br 3.093 2.866 0.554
Br 3.093 -2.866 6.873
Br 3.093 -5.029 3.160
F 3.093 6.691 0.869
F 3.093 1.203 4.583
F 3.093 -1.203 2.844
F 3.093 -6.691 6.558
```

Energy relative to the elements, uncorrected (eV per atom): -0.6445
Space-group type: Cmce (64)
Energy above the most stable polymorph in this dataset (eV per formula unit): 0.00